A plane-wave DFT calculation with PBE was carried out for a relaxed structure of CsNa2Zn2.

a b c (Å): 9.516 9.516 3.602
angles (deg): 90.00 90.00 90.00
Fractional coordinates of all 10 atoms:
Cs 0.000 0.000 0.000
Cs 0.500 0.500 0.000
Na 0.125 0.375 0.000
Na 0.375 0.875 0.000
Na 0.625 0.125 0.000
Na 0.875 0.625 0.000
Zn 0.163 0.663 0.500
Zn 0.337 0.163 0.500
Zn 0.663 0.837 0.500
Zn 0.837 0.337 0.500

Results
space-group type	No. 127
mass density	3.2	g/cm3
formation enthalpy at 0 K	171	meV/atom
excess energy over the best structure of this formula in the dataset	55	meV per atom